a | Entry from the Alexandria database: an optimized crystal structure of Zr2MnHRu (PBE-GGA).

N(E_F), states/eV per cell: 1.760

Cell and atoms, written as POSCAR:
```
Zr2MnHRu
1.0
4.592 0.000 0.000
0.000 4.592 0.000
0.000 0.000 3.335
Zr Mn H Ru
2 1 1 1
Direct
0.000 0.500 0.000
0.500 0.000 0.000
0.000 0.000 0.500
0.000 0.000 0.000
0.500 0.500 0.500
```

b | Entry from the Alexandria database: an optimized crystal structure of Zr2MnHRu (PBE-GGA).

N(E_F), states/eV per cell: 2.652

Cell and atoms, written as POSCAR:
```
Zr2MnHRu
1.0
4.576 0.000 0.000
0.000 4.576 0.000
0.000 0.000 3.436
Zr Mn H Ru
2 1 1 1
Direct
0.000 0.500 0.000
0.500 0.000 0.000
0.000 0.000 0.500
0.500 0.500 0.000
0.500 0.500 0.500
```

The structure with the least stability is b.

a | Entry from the Alexandria database: an optimized crystal structure of MnHS2 (PBE-GGA).

N(E_F), states/eV per cell: 0.253

Cell and atoms, written as POSCAR:
```
MnHS2
1.0
3.302 0.000 0.000
-0.051 5.923 0.000
-1.642 -2.862 5.300
Mn H S
2 2 4
Direct
0.000 0.000 0.000
0.272 0.313 0.548
0.248 0.812 0.541
0.484 0.518 0.223
0.109 0.437 0.241
0.371 0.050 0.749
0.631 0.982 0.263
0.877 0.563 0.754
```

b | Entry from the Alexandria database: an optimized crystal structure of MnHS2 (PBE-GGA).

N(E_F), states/eV per cell: 2.333

Cell and atoms, written as POSCAR:
```
MnHS2
1.0
-2.645 2.645 3.944
2.645 -2.645 3.944
2.645 2.645 -3.944
Mn H S
2 2 4
Direct
0.375 0.625 0.750
0.625 0.375 0.250
0.125 0.875 0.250
0.875 0.125 0.750
0.078 0.328 0.750
0.328 0.078 0.250
0.672 0.922 0.750
0.922 0.672 0.250
```

c | Entry from the Alexandria database: an optimized crystal structure of MnHS2 (PBE-GGA).

N(E_F), states/eV per cell: 0.000

Cell and atoms, written as POSCAR:
```
MnHS2
1.0
6.321 0.000 0.000
0.000 5.143 0.000
-1.794 0.000 6.889
Mn H S
4 4 8
Direct
0.001 0.250 0.323
0.001 0.250 0.823
0.999 0.750 0.177
0.999 0.750 0.677
0.163 0.502 0.286
0.163 0.998 0.786
0.837 0.002 0.214
0.837 0.498 0.714
0.208 0.603 0.968
0.208 0.897 0.468
0.211 0.101 0.126
0.211 0.399 0.626
0.789 0.601 0.374
0.789 0.899 0.874
0.792 0.103 0.532
0.792 0.397 0.032
```

d | Entry from the Alexandria database: an optimized crystal structure of MnHS2 (PBE-GGA).

N(E_F), states/eV per cell: 2.124

Cell and atoms, written as POSCAR:
```
MnHS2
1.0
2.975 0.000 0.000
-1.487 2.576 0.000
0.000 0.000 7.379
Mn H S
1 1 2
Direct
0.000 0.000 0.000
0.667 0.333 0.346
0.000 0.000 0.299
0.333 0.667 0.816
```

The structure with the least stability is d.

a | Entry from the Alexandria database: an optimized crystal structure of MnHS2 (PBE-GGA).

N(E_F), states/eV per cell: 2.563

Cell and atoms, written as POSCAR:
```
MnHS2
1.0
1.586 -12.946 0.000
1.586 12.946 0.000
0.000 0.000 3.181
Mn H S
2 2 4
Direct
0.146 0.854 0.750
0.854 0.146 0.250
0.442 0.558 0.750
0.558 0.442 0.250
0.316 0.684 0.750
0.425 0.575 0.250
0.575 0.425 0.750
0.684 0.316 0.250
```

b | Entry from the Alexandria database: an optimized crystal structure of MnHS2 (PBE-GGA).

N(E_F), states/eV per cell: 0.074

Cell and atoms, written as POSCAR:
```
MnHS2
1.0
6.361 0.000 0.000
0.000 3.062 0.000
0.000 0.000 11.039
Mn H S
4 4 8
Direct
0.062 0.250 0.092
0.438 0.750 0.592
0.562 0.250 0.408
0.938 0.750 0.908
0.033 0.250 0.685
0.467 0.750 0.185
0.533 0.250 0.815
0.967 0.750 0.315
0.092 0.750 0.718
0.240 0.750 0.996
0.260 0.250 0.496
0.408 0.250 0.218
0.592 0.750 0.782
0.740 0.750 0.504
0.760 0.250 0.004
0.908 0.250 0.282
```

c | Entry from the Alexandria database: an optimized crystal structure of MnHS2 (PBE-GGA).

N(E_F), states/eV per cell: 5.058

Cell and atoms, written as POSCAR:
```
MnHS2
1.0
-3.936 3.936 2.630
3.936 -3.936 2.630
3.936 3.936 -2.630
Mn H S
2 2 4
Direct
0.250 0.750 0.500
0.750 0.250 0.500
0.250 0.250 0.000
0.750 0.750 0.000
0.148 0.648 0.795
0.352 0.148 0.500
0.648 0.852 0.500
0.852 0.352 0.205
```

d | Entry from the Alexandria database: an optimized crystal structure of MnHS2 (PBE-GGA).

N(E_F), states/eV per cell: 2.835

Cell and atoms, written as POSCAR:
```
MnHS2
1.0
3.109 -3.104 0.000
3.109 3.104 0.000
-2.790 0.000 5.803
Mn H S
2 2 4
Direct
0.135 0.865 0.500
0.865 0.135 0.000
0.308 0.442 0.872
0.442 0.308 0.372
0.146 0.319 0.396
0.319 0.146 0.896
0.693 0.919 0.614
0.919 0.693 0.114
```

The structure with the least stability is c.